a) A relaxed CaTl2BiPt crystal. Source: Alexandria via LeMat-Bulk, functional PBE-GGA.

a b c (Å): 5.2702 5.2702 5.6137
angles (deg): 90.00 90.00 90.00
Sites, in units of the cell vectors:
Ca: 0.0000 0.0000 0.0000
Tl: 0.0000 0.5000 0.5000
Tl: 0.5000 0.0000 0.5000
Bi: 0.5000 0.5000 0.0000
Pt: 0.0000 0.0000 0.5000

Results
**Calculated volume**: 31.18 Å³ per atom
**Magnetic moment**: 0.00 μB/f.u.


b) A relaxed CaTl2BiPt crystal. Source: Alexandria via LeMat-Bulk, functional PBE-GGA.

a b c (Å): 5.8047 5.8047 6.0019
angles (deg): 90.00 90.00 90.00
Sites, in units of the cell vectors:
Ca: 0.0000 0.0000 0.0000
Tl: 0.0000 0.5000 0.5000
Tl: 0.5000 0.0000 0.5000
Bi: 0.0000 0.0000 0.5000
Pt: 0.5000 0.5000 0.0000

Results
**Calculated volume**: 40.45 Å³ per atom
**Magnetic moment**: 0.00 μB/f.u.


Which structure is the most stable? The one labeled a).